(i)
! AsPtN2F, optimized geometry, DFT PBE; values from VASP
! - Magnetic moment: 0.00 μB/cell
! - DOS(E_F): 0.71 states/eV per atom
! - SG: P4/mmm (123)
&SYSTEM
  ibrav = 0, nat = 5, ntyp = 4
/
ATOMIC_SPECIES
As 74.92 As.upf
Pt 195.08 Pt.upf
N 14.01 N.upf
F 19.00 F.upf
ATOMIC_POSITIONS crystal
As 0.0000 0.0000 0.0000
Pt 0.5000 0.5000 0.5000
N 0.0000 0.5000 0.5000
N 0.5000 0.0000 0.5000
F 0.5000 0.5000 0.0000
CELL_PARAMETERS angstrom
3.9647 0.0000 0.0000
0.0000 3.9647 0.0000
0.0000 0.0000 4.1905

(ii)
! AsPtN2F, optimized geometry, DFT PBE; values from VASP
! - Magnetic moment: 0.00 μB/cell
! - DOS(E_F): 0.25 states/eV per atom
! - SG: P4/mmm (123)
&SYSTEM
  ibrav = 0, nat = 5, ntyp = 4
/
ATOMIC_SPECIES
As 74.92 As.upf
Pt 195.08 Pt.upf
N 14.01 N.upf
F 19.00 F.upf
ATOMIC_POSITIONS crystal
As 0.0000 0.0000 0.0000
Pt 0.5000 0.5000 0.5000
N 0.0000 0.5000 0.0000
N 0.5000 0.0000 0.0000
F 0.0000 0.0000 0.5000
CELL_PARAMETERS angstrom
3.8999 0.0000 0.0000
0.0000 3.8999 0.0000
0.0000 0.0000 3.7689

Most favorable structure: (ii). The second most favorable one is 4.4 kJ/mol of atoms above it.

(i)
! RbAsN2F, optimized geometry, DFT PBE; values from VASP
! - Magnetic moment: 2.99 μB/cell
! - DOS(E_F): 0.20 states/eV per atom
! - SG: P4/mmm (123)
&SYSTEM
  ibrav = 0, nat = 5, ntyp = 4
/
ATOMIC_SPECIES
Rb 85.47 Rb.upf
As 74.92 As.upf
N 14.01 N.upf
F 19.00 F.upf
ATOMIC_POSITIONS crystal
Rb 0.0000 0.0000 0.0000
As 0.5000 0.5000 0.5000
N 0.0000 0.5000 0.0000
N 0.5000 0.0000 0.0000
F 0.0000 0.0000 0.5000
CELL_PARAMETERS angstrom
5.6750 0.0000 0.0000
0.0000 5.6750 0.0000
0.0000 0.0000 4.9403

(ii)
! RbAsN2F, optimized geometry, DFT PBE; values from VASP
! - Magnetic moment: 0.90 μB/cell
! - DOS(E_F): 0.49 states/eV per atom
! - SG: P4/mmm (123)
&SYSTEM
  ibrav = 0, nat = 5, ntyp = 4
/
ATOMIC_SPECIES
Rb 85.47 Rb.upf
As 74.92 As.upf
N 14.01 N.upf
F 19.00 F.upf
ATOMIC_POSITIONS crystal
Rb 0.0000 0.0000 0.0000
As 0.5000 0.5000 0.5000
N 0.0000 0.5000 0.5000
N 0.5000 0.0000 0.5000
F 0.5000 0.5000 0.0000
CELL_PARAMETERS angstrom
3.7880 0.0000 0.0000
0.0000 3.7880 0.0000
0.0000 0.0000 5.2137

Most favorable structure: (ii). The second most favorable one is 157.4 kJ/mol of atoms above it.

(i)
! AsRhN2F, optimized geometry, DFT PBE; values from VASP
! - Magnetic moment: 0.00 μB/cell
! - DOS(E_F): 0.72 states/eV per atom
! - SG: P4/mmm (123)
&SYSTEM
  ibrav = 0, nat = 5, ntyp = 4
/
ATOMIC_SPECIES
As 74.92 As.upf
Rh 102.91 Rh.upf
N 14.01 N.upf
F 19.00 F.upf
ATOMIC_POSITIONS crystal
As 0.0000 0.0000 0.0000
Rh 0.5000 0.5000 0.5000
N 0.0000 0.5000 0.5000
N 0.5000 0.0000 0.5000
F 0.5000 0.5000 0.0000
CELL_PARAMETERS angstrom
3.9406 0.0000 0.0000
0.0000 3.9406 0.0000
0.0000 0.0000 4.0242

(ii)
! AsRhN2F, optimized geometry, DFT PBE; values from VASP
! - Magnetic moment: 0.00 μB/cell
! - DOS(E_F): 0.88 states/eV per atom
! - SG: P4/mmm (123)
&SYSTEM
  ibrav = 0, nat = 5, ntyp = 4
/
ATOMIC_SPECIES
As 74.92 As.upf
Rh 102.91 Rh.upf
N 14.01 N.upf
F 19.00 F.upf
ATOMIC_POSITIONS crystal
As 0.0000 0.0000 0.0000
Rh 0.5000 0.5000 0.5000
N 0.0000 0.5000 0.0000
N 0.5000 0.0000 0.0000
F 0.0000 0.0000 0.5000
CELL_PARAMETERS angstrom
3.8639 0.0000 0.0000
0.0000 3.8639 0.0000
0.0000 0.0000 3.7739

Most favorable structure: (i). The second most favorable one is 11.1 kJ/mol of atoms above it.

(i)
! SbAsN2F, optimized geometry, DFT PBE; values from VASP
! - Magnetic moment: 0.00 μB/cell
! - DOS(E_F): 0.38 states/eV per atom
! - SG: P4/mmm (123)
&SYSTEM
  ibrav = 0, nat = 5, ntyp = 4
/
ATOMIC_SPECIES
Sb 121.76 Sb.upf
As 74.92 As.upf
N 14.01 N.upf
F 19.00 F.upf
ATOMIC_POSITIONS crystal
Sb 0.0000 0.0000 0.0000
As 0.5000 0.5000 0.5000
N 0.0000 0.5000 0.5000
N 0.5000 0.0000 0.5000
F 0.5000 0.5000 0.0000
CELL_PARAMETERS angstrom
4.0452 0.0000 0.0000
0.0000 4.0452 0.0000
0.0000 0.0000 3.9301

(ii)
! SbAsN2F, optimized geometry, DFT PBE; values from VASP
! - Magnetic moment: 0.00 μB/cell
! - DOS(E_F): 0.30 states/eV per atom
! - SG: P4/mmm (123)
&SYSTEM
  ibrav = 0, nat = 5, ntyp = 4
/
ATOMIC_SPECIES
Sb 121.76 Sb.upf
As 74.92 As.upf
N 14.01 N.upf
F 19.00 F.upf
ATOMIC_POSITIONS crystal
Sb 0.0000 0.0000 0.0000
As 0.5000 0.5000 0.5000
N 0.0000 0.5000 0.0000
N 0.5000 0.0000 0.0000
F 0.0000 0.0000 0.5000
CELL_PARAMETERS angstrom
4.1413 0.0000 0.0000
0.0000 4.1413 0.0000
0.0000 0.0000 4.0619

Most favorable structure: (i). The second most favorable one is 16.3 kJ/mol of atoms above it.

(i)
! SbAsNF2, optimized geometry, DFT PBE; values from VASP
! - Magnetic moment: 1.51 μB/cell
! - DOS(E_F): 0.35 states/eV per atom
! - SG: P4/mmm (123)
&SYSTEM
  ibrav = 0, nat = 5, ntyp = 4
/
ATOMIC_SPECIES
Sb 121.76 Sb.upf
As 74.92 As.upf
N 14.01 N.upf
F 19.00 F.upf
ATOMIC_POSITIONS crystal
Sb 0.0000 0.0000 0.0000
As 0.5000 0.5000 0.5000
N 0.0000 0.0000 0.5000
F 0.0000 0.5000 0.0000
F 0.5000 0.0000 0.0000
CELL_PARAMETERS angstrom
4.3215 0.0000 0.0000
0.0000 4.3215 0.0000
0.0000 0.0000 4.4241

(ii)
! SbAsNF2, optimized geometry, DFT PBE; values from VASP
! - Magnetic moment: 0.00 μB/cell
! - DOS(E_F): 0.32 states/eV per atom
! - SG: P4/mmm (123)
&SYSTEM
  ibrav = 0, nat = 5, ntyp = 4
/
ATOMIC_SPECIES
Sb 121.76 Sb.upf
As 74.92 As.upf
N 14.01 N.upf
F 19.00 F.upf
ATOMIC_POSITIONS crystal
Sb 0.0000 0.0000 0.0000
As 0.5000 0.5000 0.5000
N 0.5000 0.5000 0.0000
F 0.0000 0.5000 0.5000
F 0.5000 0.0000 0.5000
CELL_PARAMETERS angstrom
4.2539 0.0000 0.0000
0.0000 4.2539 0.0000
0.0000 0.0000 4.1543

Most favorable structure: (ii). The second most favorable one is 4.8 kJ/mol of atoms above it.

(i)
! ScAsNF2, optimized geometry, DFT PBE; values from VASP
! - Magnetic moment: 0.99 μB/cell
! - DOS(E_F): 0.47 states/eV per atom
! - SG: P4/mmm (123)
&SYSTEM
  ibrav = 0, nat = 5, ntyp = 4
/
ATOMIC_SPECIES
Sc 44.96 Sc.upf
As 74.92 As.upf
N 14.01 N.upf
F 19.00 F.upf
ATOMIC_POSITIONS crystal
Sc 0.0000 0.0000 0.0000
As 0.5000 0.5000 0.5000
N 0.5000 0.5000 0.0000
F 0.0000 0.5000 0.5000
F 0.5000 0.0000 0.5000
CELL_PARAMETERS angstrom
4.2434 0.0000 0.0000
0.0000 4.2434 0.0000
0.0000 0.0000 4.0302

(ii)
! ScAsNF2, optimized geometry, DFT PBE; values from VASP
! - Magnetic moment: 0.96 μB/cell
! - DOS(E_F): 0.11 states/eV per atom
! - SG: P4/mmm (123)
&SYSTEM
  ibrav = 0, nat = 5, ntyp = 4
/
ATOMIC_SPECIES
Sc 44.96 Sc.upf
As 74.92 As.upf
N 14.01 N.upf
F 19.00 F.upf
ATOMIC_POSITIONS crystal
Sc 0.0000 0.0000 0.0000
As 0.5000 0.5000 0.5000
N 0.0000 0.0000 0.5000
F 0.0000 0.5000 0.0000
F 0.5000 0.0000 0.0000
CELL_PARAMETERS angstrom
3.9383 0.0000 0.0000
0.0000 3.9383 0.0000
0.0000 0.0000 4.6339

Most favorable structure: (ii). The second most favorable one is 69.2 kJ/mol of atoms above it.

(i)
! AsSeN2F, optimized geometry, DFT PBE; values from VASP
! - Magnetic moment: 0.00 μB/cell
! - DOS(E_F): 0.44 states/eV per atom
! - SG: P4/mmm (123)
&SYSTEM
  ibrav = 0, nat = 5, ntyp = 4
/
ATOMIC_SPECIES
As 74.92 As.upf
Se 78.96 Se.upf
N 14.01 N.upf
F 19.00 F.upf
ATOMIC_POSITIONS crystal
As 0.0000 0.0000 0.0000
Se 0.5000 0.5000 0.5000
N 0.0000 0.5000 0.0000
N 0.5000 0.0000 0.0000
F 0.0000 0.0000 0.5000
CELL_PARAMETERS angstrom
3.9513 0.0000 0.0000
0.0000 3.9513 0.0000
0.0000 0.0000 3.8667

(ii)
! AsSeN2F, optimized geometry, DFT PBE; values from VASP
! - Magnetic moment: 2.42 μB/cell
! - DOS(E_F): 0.41 states/eV per atom
! - SG: P4/mmm (123)
&SYSTEM
  ibrav = 0, nat = 5, ntyp = 4
/
ATOMIC_SPECIES
As 74.92 As.upf
Se 78.96 Se.upf
N 14.01 N.upf
F 19.00 F.upf
ATOMIC_POSITIONS crystal
As 0.0000 0.0000 0.0000
Se 0.5000 0.5000 0.0000
N 0.0000 0.5000 0.5000
N 0.5000 0.0000 0.5000
F 0.5000 0.5000 0.5000
CELL_PARAMETERS angstrom
4.0523 0.0000 0.0000
0.0000 4.0523 0.0000
0.0000 0.0000 4.3819

Most favorable structure: (i). The second most favorable one is 113.9 kJ/mol of atoms above it.

(i)
! AsSeN2F, optimized geometry, DFT PBE; values from VASP
! - Magnetic moment: 0.83 μB/cell
! - DOS(E_F): 0.79 states/eV per atom
! - SG: P4/mmm (123)
&SYSTEM
  ibrav = 0, nat = 5, ntyp = 4
/
ATOMIC_SPECIES
As 74.92 As.upf
Se 78.96 Se.upf
N 14.01 N.upf
F 19.00 F.upf
ATOMIC_POSITIONS crystal
As 0.0000 0.0000 0.0000
Se 0.0000 0.0000 0.5000
N 0.0000 0.5000 0.0000
N 0.5000 0.0000 0.0000
F 0.5000 0.5000 0.5000
CELL_PARAMETERS angstrom
3.5975 0.0000 0.0000
0.0000 3.5975 0.0000
0.0000 0.0000 5.7646

(ii)
! AsSeN2F, optimized geometry, DFT PBE; values from VASP
! - Magnetic moment: 0.00 μB/cell
! - DOS(E_F): 0.52 states/eV per atom
! - SG: P4/mmm (123)
&SYSTEM
  ibrav = 0, nat = 5, ntyp = 4
/
ATOMIC_SPECIES
As 74.92 As.upf
Se 78.96 Se.upf
N 14.01 N.upf
F 19.00 F.upf
ATOMIC_POSITIONS crystal
As 0.0000 0.0000 0.0000
Se 0.5000 0.5000 0.5000
N 0.0000 0.5000 0.5000
N 0.5000 0.0000 0.5000
F 0.5000 0.5000 0.0000
CELL_PARAMETERS angstrom
4.0151 0.0000 0.0000
0.0000 4.0151 0.0000
0.0000 0.0000 3.9486

Most favorable structure: (i). The second most favorable one is 2.2 kJ/mol of atoms above it.

(i)
! AsSe2NF, optimized geometry, DFT PBE; values from VASP
! - Magnetic moment: 0.02 μB/cell
! - DOS(E_F): 1.25 states/eV per atom
! - SG: P4/mmm (123)
&SYSTEM
  ibrav = 0, nat = 5, ntyp = 4
/
ATOMIC_SPECIES
As 74.92 As.upf
Se 78.96 Se.upf
N 14.01 N.upf
F 19.00 F.upf
ATOMIC_POSITIONS crystal
As 0.0000 0.0000 0.0000
Se 0.0000 0.5000 0.0000
Se 0.5000 0.0000 0.0000
N 0.0000 0.0000 0.5000
F 0.5000 0.5000 0.5000
CELL_PARAMETERS angstrom
5.1162 0.0000 0.0000
0.0000 5.1162 0.0000
0.0000 0.0000 3.5902

(ii)
! AsSe2NF, optimized geometry, DFT PBE; values from VASP
! - Magnetic moment: 1.50 μB/cell
! - DOS(E_F): 0.58 states/eV per atom
! - SG: P4/mmm (123)
&SYSTEM
  ibrav = 0, nat = 5, ntyp = 4
/
ATOMIC_SPECIES
As 74.92 As.upf
Se 78.96 Se.upf
N 14.01 N.upf
F 19.00 F.upf
ATOMIC_POSITIONS crystal
As 0.0000 0.0000 0.0000
Se 0.0000 0.5000 0.5000
Se 0.5000 0.0000 0.5000
N 0.5000 0.5000 0.0000
F 0.5000 0.5000 0.5000
CELL_PARAMETERS angstrom
4.7122 0.0000 0.0000
0.0000 4.7122 0.0000
0.0000 0.0000 3.8828

(iii)
! AsSe2NF, optimized geometry, DFT PBE; values from VASP
! - Magnetic moment: 0.00 μB/cell
! - DOS(E_F): 0.28 states/eV per atom
! - SG: P4/mmm (123)
&SYSTEM
  ibrav = 0, nat = 5, ntyp = 4
/
ATOMIC_SPECIES
As 74.92 As.upf
Se 78.96 Se.upf
N 14.01 N.upf
F 19.00 F.upf
ATOMIC_POSITIONS crystal
As 0.0000 0.0000 0.0000
Se 0.0000 0.5000 0.5000
Se 0.5000 0.0000 0.5000
N 0.0000 0.0000 0.5000
F 0.5000 0.5000 0.0000
CELL_PARAMETERS angstrom
4.2874 0.0000 0.0000
0.0000 4.2874 0.0000
0.0000 0.0000 4.4426

Most favorable structure: (iii). The second most favorable one is 19.8 kJ/mol of atoms above it.

(i)
! SrAsNF2, optimized geometry, DFT PBE; values from VASP
! - Magnetic moment: 0.00 μB/cell
! - DOS(E_F): 0.80 states/eV per atom
! - SG: P4/mmm (123)
&SYSTEM
  ibrav = 0, nat = 5, ntyp = 4
/
ATOMIC_SPECIES
Sr 87.62 Sr.upf
As 74.92 As.upf
N 14.01 N.upf
F 19.00 F.upf
ATOMIC_POSITIONS crystal
Sr 0.0000 0.0000 0.0000
As 0.5000 0.5000 0.5000
N 0.0000 0.0000 0.5000
F 0.0000 0.5000 0.0000
F 0.5000 0.0000 0.0000
CELL_PARAMETERS angstrom
4.4182 0.0000 0.0000
0.0000 4.4182 0.0000
0.0000 0.0000 5.3047

(ii)
! SrAsNF2, optimized geometry, DFT PBE; values from VASP
! - Magnetic moment: 0.00 μB/cell
! - DOS(E_F): 0.14 states/eV per atom
! - SG: P4/mmm (123)
&SYSTEM
  ibrav = 0, nat = 5, ntyp = 4
/
ATOMIC_SPECIES
Sr 87.62 Sr.upf
As 74.92 As.upf
N 14.01 N.upf
F 19.00 F.upf
ATOMIC_POSITIONS crystal
Sr 0.0000 0.0000 0.0000
As 0.5000 0.5000 0.5000
N 0.5000 0.5000 0.0000
F 0.0000 0.5000 0.5000
F 0.5000 0.0000 0.5000
CELL_PARAMETERS angstrom
4.4531 0.0000 0.0000
0.0000 4.4531 0.0000
0.0000 0.0000 3.9922

Most favorable structure: (ii). The second most favorable one is 81.2 kJ/mol of atoms above it.

(i)
! SrAsN2F, optimized geometry, DFT PBE; values from VASP
! - Magnetic moment: 2.00 μB/cell
! - DOS(E_F): 0.17 states/eV per atom
! - SG: P4/mmm (123)
&SYSTEM
  ibrav = 0, nat = 5, ntyp = 4
/
ATOMIC_SPECIES
Sr 87.62 Sr.upf
As 74.92 As.upf
N 14.01 N.upf
F 19.00 F.upf
ATOMIC_POSITIONS crystal
Sr 0.0000 0.0000 0.0000
As 0.5000 0.5000 0.5000
N 0.0000 0.5000 0.0000
N 0.5000 0.0000 0.0000
F 0.0000 0.0000 0.5000
CELL_PARAMETERS angstrom
5.0598 0.0000 0.0000
0.0000 5.0598 0.0000
0.0000 0.0000 4.5027

(ii)
! SrAsN2F, optimized geometry, DFT PBE; values from VASP
! - Magnetic moment: 0.00 μB/cell
! - DOS(E_F): 0.14 states/eV per atom
! - SG: P4/mmm (123)
&SYSTEM
  ibrav = 0, nat = 5, ntyp = 4
/
ATOMIC_SPECIES
Sr 87.62 Sr.upf
As 74.92 As.upf
N 14.01 N.upf
F 19.00 F.upf
ATOMIC_POSITIONS crystal
Sr 0.0000 0.0000 0.0000
As 0.5000 0.5000 0.5000
N 0.0000 0.5000 0.5000
N 0.5000 0.0000 0.5000
F 0.5000 0.5000 0.0000
CELL_PARAMETERS angstrom
3.8595 0.0000 0.0000
0.0000 3.8595 0.0000
0.0000 0.0000 4.4530

Most favorable structure: (ii). The second most favorable one is 131.3 kJ/mol of atoms above it.

(i)
! Te2AsNF, optimized geometry, DFT PBE; values from VASP
! - Magnetic moment: 0.00 μB/cell
! - DOS(E_F): 1.11 states/eV per atom
! - SG: P4/mmm (123)
&SYSTEM
  ibrav = 0, nat = 5, ntyp = 4
/
ATOMIC_SPECIES
Te 127.60 Te.upf
As 74.92 As.upf
N 14.01 N.upf
F 19.00 F.upf
ATOMIC_POSITIONS crystal
Te 0.0000 0.5000 0.0000
Te 0.5000 0.0000 0.0000
As 0.0000 0.0000 0.0000
N 0.0000 0.0000 0.5000
F 0.5000 0.5000 0.5000
CELL_PARAMETERS angstrom
5.5644 0.0000 0.0000
0.0000 5.5644 0.0000
0.0000 0.0000 3.5569

(ii)
! Te2AsNF, optimized geometry, DFT PBE; values from VASP
! - Magnetic moment: 2.66 μB/cell
! - DOS(E_F): 0.50 states/eV per atom
! - SG: P4/mmm (123)
&SYSTEM
  ibrav = 0, nat = 5, ntyp = 4
/
ATOMIC_SPECIES
Te 127.60 Te.upf
As 74.92 As.upf
N 14.01 N.upf
F 19.00 F.upf
ATOMIC_POSITIONS crystal
Te 0.0000 0.5000 0.0000
Te 0.5000 0.0000 0.0000
As 0.0000 0.0000 0.5000
N 0.5000 0.5000 0.5000
F 0.5000 0.5000 0.0000
CELL_PARAMETERS angstrom
4.8362 0.0000 0.0000
0.0000 4.8362 0.0000
0.0000 0.0000 4.5607

Most favorable structure: (i). The second most favorable one is 39.5 kJ/mol of atoms above it.